PmHo2ErTm6 | GGA-PBE | relaxed

Cell lengths 8.6940, 8.6940, 9.3979 Å; angles 93.51, 93.51, 117.80 degrees
Fractional coordinates of all 20 atoms:
Pm (0.0256, 0.9744, 0.7500)
Pm (0.9744, 0.0256, 0.2500)
Ho (0.1983, 0.3054, 0.5466)
Ho (0.3054, 0.1983, 0.0466)
Ho (0.6946, 0.8017, 0.9534)
Ho (0.8017, 0.6946, 0.4534)
Er (0.4099, 0.5901, 0.2500)
Er (0.5901, 0.4099, 0.7500)
Tm (0.0188, 0.5673, 0.6832)
Tm (0.1259, 0.7509, 0.0579)
Tm (0.2491, 0.8741, 0.4421)
Tm (0.2903, 0.5085, 0.8828)
Tm (0.4327, 0.9812, 0.8168)
Tm (0.4915, 0.7097, 0.6172)
Tm (0.5085, 0.2903, 0.3828)
Tm (0.5673, 0.0188, 0.1832)
Tm (0.7097, 0.4915, 0.1172)
Tm (0.7509, 0.1259, 0.5579)
Tm (0.8741, 0.2491, 0.9421)
Tm (0.9812, 0.4327, 0.3168)

Summary:
crystal system: monoclinic
energy relative to the elements: 1.23 eV/f.u.
D(E_F): 28.58 states/eV/cell

=====

TbHoZn | GGA-PBE | relaxed

Cell lengths 4.9844, 4.9844, 3.6362 Å; angles 90.00, 90.00, 120.00 degrees
Fractional coordinates of all 3 atoms:
Tb (0.0000, 0.0000, 0.0000)
Ho (0.3333, 0.6667, 0.5388)
Zn (0.6667, 0.3333, 0.2912)

Summary:
crystal system: trigonal
energy relative to the elements: -0.16 eV/f.u.
D(E_F): 3.18 states/eV/cell

=====

MnGa2Rh2 | GGA-PBE | relaxed

Cell lengths 7.0570, 7.0570, 2.8444 Å; angles 90.00, 90.00, 90.00 degrees
Fractional coordinates of all 10 atoms:
Mn (0.0000, 0.0000, 0.0000)
Mn (0.5000, 0.5000, 0.0000)
Ga (0.1383, 0.3617, 0.0000)
Ga (0.3617, 0.8617, 0.0000)
Ga (0.6383, 0.1383, 0.0000)
Ga (0.8617, 0.6383, 0.0000)
Rh (0.1623, 0.6623, 0.5000)
Rh (0.3377, 0.1623, 0.5000)
Rh (0.6623, 0.8377, 0.5000)
Rh (0.8377, 0.3377, 0.5000)

Summary:
crystal system: tetragonal
energy relative to the elements: -0.68 eV/f.u.
D(E_F): 14.51 states/eV/cell

=====

Copy entry 3 word for word.
MnGa2Rh2 | GGA-PBE | relaxed

Cell lengths 7.0570, 7.0570, 2.8444 Å; angles 90.00, 90.00, 90.00 degrees
Fractional coordinates of all 10 atoms:
Mn (0.0000, 0.0000, 0.0000)
Mn (0.5000, 0.5000, 0.0000)
Ga (0.1383, 0.3617, 0.0000)
Ga (0.3617, 0.8617, 0.0000)
Ga (0.6383, 0.1383, 0.0000)
Ga (0.8617, 0.6383, 0.0000)
Rh (0.1623, 0.6623, 0.5000)
Rh (0.3377, 0.1623, 0.5000)
Rh (0.6623, 0.8377, 0.5000)
Rh (0.8377, 0.3377, 0.5000)

Summary:
crystal system: tetragonal
energy relative to the elements: -0.68 eV/f.u.
D(E_F): 14.51 states/eV/cell

=====

Copy entry 2 word for word.
TbHoZn | GGA-PBE | relaxed

Cell lengths 4.9844, 4.9844, 3.6362 Å; angles 90.00, 90.00, 120.00 degrees
Fractional coordinates of all 3 atoms:
Tb (0.0000, 0.0000, 0.0000)
Ho (0.3333, 0.6667, 0.5388)
Zn (0.6667, 0.3333, 0.2912)

Summary:
crystal system: trigonal
energy relative to the elements: -0.16 eV/f.u.
D(E_F): 3.18 states/eV/cell

=====

- energy relative to the elements of number 3 (MnGa2Rh2)?
  -0.68 eV/f.u.